VASP calculation (meta-GGA SCAN) on a crystal of Sc2AlBr relaxed with PBEsol.

Cell: 3.2050 3.2050 7.8022 Å, 90.00 90.00 90.00°
Closest atoms and distances in Å follow each position.
Fractional positions:
Br 0.5000 0.5000 0.5000  8 Sc 3.06, 4 Br 3.21
Sc 0.0000 0.0000 0.7634  4 Al 2.92, 4 Br 3.06, 4 Sc 3.21
Sc 0.0000 0.0000 0.2366  4 Al 2.92, 4 Br 3.06, 4 Sc 3.21
Al 0.5000 0.5000 0.0000  8 Sc 2.92, 4 Al 3.21

Calculated values
Formation energy without anion corrections (eV/f.u.): -2.401
Crystal system: tetragonal
ΔE to the lowest computed polymorph (kcal/mol of atoms): 2.26
Size of the total moment (μB per formula unit): 1.3